Entry 1:
Material: Tb2Pm6Y3Er
Method: DFT, PBE
State: relaxed

Unit cell a=6.256 b=10.833 c=11.867 alpha=90.00 beta=100.08 gamma=90.00
Space group C2/m (No. 12)
One atom of each set of equivalent atoms:
Tb 0.000 0.167 0.000 (multiplicity 4)
Pm 0.250 0.000 0.249 (multiplicity 4)
Pm 0.250 0.166 0.751 (multiplicity 8)
Y 0.000 0.000 0.500 (multiplicity 2)
Y 0.000 0.333 0.500 (multiplicity 4)
Er 0.000 0.500 0.000 (multiplicity 2)

Values from the calculation:
E_tot	-5.132	eV per atom
D(E_F)	28.84	states/eV/cell

Entry 2:
Material: TbPm2YEr
Method: DFT, PBE
State: relaxed

Unit cell a=8.339 b=11.597 c=7.244 alpha=90.00 beta=90.00 gamma=90.00
Space group Cmcm (No. 63)
One atom of each set of equivalent atoms:
Tb 0.000 0.028 0.250 (multiplicity 4)
Pm 0.193 0.500 0.000 (multiplicity 8)
Y 0.000 0.257 0.750 (multiplicity 4)
Er 0.000 0.290 0.250 (multiplicity 4)

Values from the calculation:
E_tot	-4.615	eV per atom
D(E_F)	27.72	states/eV/cell

Entry 3:
Material: Tb2Pm2YEr4
Method: DFT, PBE
State: relaxed

Unit cell a=18.634 b=3.590 c=9.541 alpha=90.00 beta=115.75 gamma=90.00
Space group C2/m (No. 12)
One atom of each set of equivalent atoms:
Tb 0.147 0.000 0.163 (multiplicity 4)
Pm 0.166 0.500 0.500 (multiplicity 4)
Y 0.000 0.000 0.500 (multiplicity 2)
Er 0.020 0.500 0.836 (multiplicity 4)
Er 0.185 0.000 0.836 (multiplicity 4)

Values from the calculation:
E_tot	-4.833	eV per atom
D(E_F)	24.86	states/eV/cell

The lowest E_tot belongs to which entry? Tb2Pm6Y3Er

What is the D(E_F) in the second record? 27.72 states/eV/cell

Among the records above, which one has the highest D(E_F)? Tb2Pm6Y3Er